# CrIn2Os | Alexandria via LeMat-Bulk | PBE-GGA | relaxed
data_CrIn2Os
_chemical_formula_sum 'Cr1 In2 Os1'
_symmetry_space_group_name_H-M 'P 4/m m m'
_symmetry_Int_Tables_number 123
_symmetry_space_group_name_Hall '-P 4 2'
_cell_length_a 4.220
_cell_length_b 4.220
_cell_length_c 3.963
_cell_angle_alpha 90.00
_cell_angle_beta 90.00
_cell_angle_gamma 90.00
loop_
_atom_site_label
_atom_site_type_symbol
_atom_site_fract_x
_atom_site_fract_y
_atom_site_fract_z
Cr1 Cr 0.000 0.000 0.000
In1 In 0.000 0.500 0.500
Os1 Os 0.500 0.500 0.000
# Density (g/cm³): 11.103
# Distance to the lowest polymorph of the same formula (meV/atom): 228
# Formation energy (eV/f.u.): 1.90
# M_tot (μB/cell): 3.8



# Li3Cu | Alexandria via LeMat-Bulk | PBE-GGA | relaxed
data_Li3Cu
_chemical_formula_sum 'Li6 Cu2'
_symmetry_space_group_name_H-M 'I m m 2'
_symmetry_Int_Tables_number 44
_cell_length_a 2.754
_cell_length_b 9.325
_cell_length_c 4.803
_cell_angle_alpha 90.00
_cell_angle_beta 90.00
_cell_angle_gamma 90.00
loop_
_symmetry_equiv_pos_as_xyz
'x,y,z'
'-x,-y,z'
'-x,y,z'
'x,-y,z'
'x+1/2,y+1/2,z+1/2'
'-x+1/2,-y+1/2,z+1/2'
'-x+1/2,y+1/2,z+1/2'
'x+1/2,-y+1/2,z+1/2'
loop_
_atom_site_label
_atom_site_type_symbol
_atom_site_fract_x
_atom_site_fract_y
_atom_site_fract_z
Li1 Li 0.000 0.000 0.000
Li2 Li 0.000 0.226 0.617
Cu1 Cu 0.000 0.500 0.973
# Density (g/cm³): 2.271
# Formation energy (eV/f.u.): 0.08
# M_tot (μB/cell): 0.0



# TbPuZnGe | Alexandria via LeMat-Bulk | PBE-GGA | relaxed
data_TbPuZnGe
_chemical_formula_sum 'Tb4 Pu4 Zn4 Ge4'
_symmetry_space_group_name_H-M 'F -4 3 m'
_symmetry_Int_Tables_number 216
_symmetry_space_group_name_Hall 'F -4 2 3'
_cell_length_a 7.142
_cell_length_b 7.142
_cell_length_c 7.142
_cell_angle_alpha 90.00
_cell_angle_beta 90.00
_cell_angle_gamma 90.00
loop_
_atom_site_label
_atom_site_type_symbol
_atom_site_fract_x
_atom_site_fract_y
_atom_site_fract_z
Tb1 Tb 0.000 0.000 0.000
Pu1 Pu 0.000 0.000 0.500
Zn1 Zn 0.250 0.250 0.750
Ge1 Ge 0.250 0.250 0.250
# Density (g/cm³): 9.864
# Formation energy (eV/f.u.): -1.51
# M_tot (μB/cell): 24.7



# TlRhBr2 | Alexandria via LeMat-Bulk | PBE-GGA | relaxed
data_TlRhBr2
_chemical_formula_sum 'Tl3 Rh3 Br6'
_symmetry_space_group_name_H-M 'R -3 m'
_symmetry_Int_Tables_number 166
_symmetry_space_group_name_Hall '-R 3 2"'
_cell_length_a 4.2040
_cell_length_b 4.2040
_cell_length_c 21.4040
_cell_angle_alpha 90.00
_cell_angle_beta 90.00
_cell_angle_gamma 120.00
loop_
_atom_site_label
_atom_site_type_symbol
_atom_site_fract_x
_atom_site_fract_y
_atom_site_fract_z
Tl1 Tl 0.0000 0.0000 0.0000
Rh1 Rh 0.0000 0.0000 0.5000
Br1 Br 0.0000 0.0000 0.2284
# Raw formation energy (eV per atom): -0.1155
# Density (g/cm³): 7.103
# Distance to the lowest polymorph of the same formula (meV/atom): 182
# M_tot (μB/cell): 6.0



# LiTiSiO4 | Alexandria via LeMat-Bulk | PBE-GGA | relaxed
data_LiTiSiO4
_chemical_formula_sum 'Li4 Ti4 Si4 O16'
_symmetry_space_group_name_H-M 'C m c m'
_symmetry_Int_Tables_number 63
_symmetry_space_group_name_Hall '-C 2c 2'
_cell_length_a 5.653
_cell_length_b 8.439
_cell_length_c 5.957
_cell_angle_alpha 90.00
_cell_angle_beta 90.00
_cell_angle_gamma 90.00
loop_
_atom_site_label
_atom_site_type_symbol
_atom_site_fract_x
_atom_site_fract_y
_atom_site_fract_z
Li1 Li 0.000 0.160 0.250
Ti1 Ti 0.000 0.500 0.000
Si1 Si 0.000 0.153 0.750
O1 O 0.000 0.267 0.530
O2 O 0.231 0.029 0.750
# Raw formation energy (eV per atom): -2.6557
# Density (g/cm³): 3.433
# Distance to the lowest polymorph of the same formula (meV/atom): 2
# M_tot (μB/cell): 1.0



# Ta3MoS | Alexandria via LeMat-Bulk | PBE-GGA | relaxed
data_Ta3MoS
_chemical_formula_sum 'Ta3 Mo1 S1'
_symmetry_space_group_name_H-M 'P m -3 m'
_symmetry_Int_Tables_number 221
_symmetry_space_group_name_Hall '-P 4 2 3'
_cell_length_a 4.849
_cell_length_b 4.849
_cell_length_c 4.849
_cell_angle_alpha 90.00
_cell_angle_beta 90.00
_cell_angle_gamma 90.00
loop_
_atom_site_label
_atom_site_type_symbol
_atom_site_fract_x
_atom_site_fract_y
_atom_site_fract_z
Ta1 Ta 0.000 0.000 0.500
Mo1 Mo 0.000 0.000 0.000
S1 S 0.500 0.500 0.500
# Raw formation energy (eV per atom): 1.5603
# Density (g/cm³): 9.773
# Distance to the lowest polymorph of the same formula (meV/atom): 1107
# M_tot (μB/cell): 0.0



# Dy2Er3Hg4 | Alexandria via LeMat-Bulk | PBE-GGA | relaxed
data_Dy2Er3Hg4
_chemical_formula_sum 'Dy8 Er12 Hg16'
_symmetry_space_group_name_H-M 'C m c e'
_symmetry_Int_Tables_number 64
_symmetry_space_group_name_Hall '-C 2ac 2'
_cell_length_a 6.912
_cell_length_b 17.877
_cell_length_c 7.954
_cell_angle_alpha 90.00
_cell_angle_beta 90.00
_cell_angle_gamma 90.00
loop_
_atom_site_label
_atom_site_type_symbol
_atom_site_fract_x
_atom_site_fract_y
_atom_site_fract_z
Dy1 Dy 0.000 0.095 0.089
Er1 Er 0.000 0.000 0.500
Er2 Er 0.250 0.238 0.750
Hg1 Hg 0.000 0.166 0.467
Hg2 Hg 0.250 0.067 0.750
# Density (g/cm³): 11.009
# Formation energy (eV/f.u.): -2.95
# M_tot (μB/cell): 0.0



# Rb6SO2 | Alexandria via LeMat-Bulk | PBE-GGA | relaxed
data_Rb6SO2
_chemical_formula_sum 'Rb12 S2 O4'
_symmetry_space_group_name_H-M 'C 1 2/m 1'
_symmetry_Int_Tables_number 12
_cell_length_a 14.327
_cell_length_b 5.513
_cell_length_c 10.097
_cell_angle_alpha 90.00
_cell_angle_beta 121.25
_cell_angle_gamma 90.00
loop_
_symmetry_equiv_pos_as_xyz
'x,y,z'
'-x,-y,-z'
'-x,y,-z'
'x,-y,z'
'x+1/2,y+1/2,z'
'-x+1/2,-y+1/2,-z'
'-x+1/2,y+1/2,-z'
'x+1/2,-y+1/2,z'
loop_
_atom_site_label
_atom_site_type_symbol
_atom_site_fract_x
_atom_site_fract_y
_atom_site_fract_z
Rb1 Rb 0.020 0.000 0.182
Rb2 Rb 0.156 0.500 0.607
Rb3 Rb 0.235 0.500 0.101
S1 S 0.000 0.000 0.500
O1 O 0.176 0.000 0.098
# Raw formation energy (eV per atom): -0.9266
# Density (g/cm³): 2.810
# M_tot (μB/cell): 0.4